Here is a geometry-optimized NaHgTePb structure from Alexandria. Energies are from PBE.

Results
DFT total energy: -38.05 eV/cell

a = 7.8245 Å, b = 7.8245 Å, c = 7.8245 Å
α = 90.00°, β = 90.00°, γ = 90.00°
Space group F-43m (No. 216)
Unique sites:
1 Na 0.0000 0.0000 0.0000 x4
2 Hg 0.2500 0.2500 0.2500 x4
3 Te 0.2500 0.2500 0.7500 x4
4 Pb 0.0000 0.0000 0.5000 x4



Here is a geometry-optimized TcAg2Br structure from Alexandria. Energies are from PBE.

Results
ΔE to the lowest computed polymorph: 3.77 kcal/mol of atoms

a = 2.7663 Å, b = 2.9977 Å, c = 9.4411 Å
α = 90.00°, β = 90.00°, γ = 90.00°
Space group Pmmm (No. 47)
Unique sites:
1 Tc 0.0000 0.0000 0.0000 x1
2 Ag 0.5000 0.5000 0.2170 x2
3 Br 0.0000 0.5000 0.5000 x1



Here is a geometry-optimized ZnGe2Cl structure from Alexandria. Energies are from PBE.

Results
DFT total energy: -44.46 eV/cell

a = 6.7662 Å, b = 6.7662 Å, c = 6.7662 Å
α = 90.00°, β = 90.00°, γ = 90.00°
Space group Fm-3m (No. 225)
Unique sites:
1 Zn 0.0000 0.0000 0.0000 x4
2 Ge 0.2500 0.2500 0.2500 x8
3 Cl 0.0000 0.0000 0.5000 x4



Here is a geometry-optimized ZrRh6 structure from Alexandria. Energies are from PBE.

Results
energy of formation: 0.866 eV/atom

a = 6.6801 Å, b = 6.6801 Å, c = 6.6801 Å
α = 90.00°, β = 90.00°, γ = 90.00°
Space group Im-3m (No. 229)
Unique sites:
1 Zr 0.0000 0.0000 0.0000 x2
2 Rh 0.0000 0.2500 0.5000 x12



Here is a geometry-optimized YCr2Mo structure from Alexandria. Energies are from PBE.

Results
ΔE to the lowest computed polymorph: 4.33 kcal/mol of atoms
energy of formation: 0.542 eV/atom

a = 6.5198 Å, b = 6.5198 Å, c = 6.5198 Å
α = 90.00°, β = 90.00°, γ = 90.00°
Space group F-43m (No. 216)
Unique sites:
1 Y 0.0000 0.0000 0.0000 x4
2 Cr 0.0000 0.0000 0.5000 x4
3 Cr 0.2500 0.2500 0.2500 x4
4 Mo 0.2500 0.2500 0.7500 x4



Here is a geometry-optimized AcLa2Sm8 structure from Alexandria. Energies are from PBE.

Results
ΔE to the lowest computed polymorph: 0.00 kcal/mol of atoms
energy of formation: 0.123 eV/atom

a = 5.6654 Å, b = 8.4934 Å, c = 16.4159 Å
α = 90.00°, β = 90.00°, γ = 90.00°
Space group Immm (No. 71)
Unique sites:
1 Ac 0.0000 0.0000 0.0000 x2
2 La 0.0000 0.0000 0.2997 x4
3 Sm 0.0000 0.2041 0.5000 x4
4 Sm 0.0000 0.2966 0.1421 x8
5 Sm 0.0000 0.5000 0.3418 x4